Below is a relaxed structure of RbMgNb, with properties calculated at the GGA-PBE level.

Results
D(E_F): 0.3 states/eV per cell
final energy: -3.77 eV/atom
ρ: 2.9 Mg/m³
E_form: 42.4 kJ per mole of atoms
energy above the lowest structure with this stoichiometry: 0.17 eV/f.u.

abc: 13.0113 4.5999 4.5999
angles: 119.99 100.76 79.24
Closest atoms and distances in Å follow each position.
Fractional positions:
Rb1 0.0861 0.8977 0.1023  3 Mg 3.79, 1 Nb 4.15
Rb2 0.4333 0.1275 0.8725  3 Mg 3.79, 1 Nb 4.15
Nb1 0.7597 0.0131 0.9869  3 Nb 2.66
Mg1 0.6462 0.3865 0.6135  1 Mg 2.88, 6 Nb 3.02
Mg2 0.8731 0.3064 0.6936  1 Mg 2.88, 6 Nb 3.02
Nb2 0.7596 0.6798 0.3202  3 Nb 2.66